Run 1
Compound: Na2Sb2S5
Source: Alexandria via LeMat-Bulk
Functional: PBE
Structure: relaxed

abc: 5.3751 7.8697 6.6838
angles: 102.04 90.00 109.97
Closest atoms and distances in Å follow each position.
Fractional coordinates of all 9 atoms:
Na 0.3464 0.6929 0.6020  4 S 2.83-3.01
Na 0.6536 0.3071 0.3980  4 S 2.83-3.01
Sb 0.1512 0.3024 0.8795  3 S 2.36-2.54
Sb 0.8488 0.6976 0.1205  3 S 2.36-2.54
S 0.3231 0.6462 0.0375  3 Sb 2.53-2.75
S 0.6769 0.3538 0.9625  3 Sb 2.53-2.75
S 0.1436 0.2873 0.5238  1 Sb 2.36
S 0.8564 0.7127 0.4762  1 Sb 2.36
S 0.0000 0.0000 0.0000  2 Sb 2.54

Results
Theoretical density ... 2.88 g/cm³
Total moment ... 0.00 μB/f.u.
Volume ... 28.79 A^3/atom
SG ... C2/m


Run 2
Compound: Na2Sb2S5
Source: Alexandria via LeMat-Bulk
Functional: PBE
Structure: relaxed

abc: 4.1655 7.6425 9.2351
angles: 112.10 109.72 106.45
Closest atoms and distances in Å follow each position.
Fractional coordinates of all 9 atoms:
Na 0.7798 0.3102 0.2000  4 S 2.80-2.99
Na 0.2202 0.6898 0.8000  4 S 2.80-2.99
Sb 0.1010 0.9171 0.2717  4 S 2.51-2.80
Sb 0.8990 0.0829 0.7283  4 S 2.51-2.80
S 0.2304 0.5841 0.1322  1 S 2.09
S 0.8042 0.1892 0.4626  2 Sb 2.51-2.80
S 0.1958 0.8108 0.5374  2 Sb 2.51-2.80
S 0.7696 0.4159 0.8678  1 S 2.09
S 0.0000 0.0000 0.0000  2 Sb 2.74, 4 Na 2.81-2.99

Results
Theoretical density ... 3.30 g/cm³
Total moment ... 0.00 μB/f.u.
Volume ... 25.14 A^3/atom
SG ... P-1


Winner for stability: run 2